DFT (PBE) results for a geometry-optimized SrPAu2 structure.

Lattice parameters (Å, degrees): 5.2783 5.2783 8.7209 72.38 72.38 90.00
Closest atoms and distances in Å follow each position.
Fractional coordinates of all 8 atoms:
Au1 0.3750 0.5468 0.7500  2 P 2.41
Au2 0.8750 0.7032 0.7500  2 P 2.41
Au3 0.4532 0.1250 0.2500  2 P 2.41
Au4 0.2968 0.6250 0.2500  2 P 2.41
P1 0.2500 0.7500 0.5000  4 Au 2.41
P2 0.5000 0.5000 0.0000  4 Au 2.41
Sr1 0.7500 0.2500 0.5000  4 Au 3.25
Sr2 0.0000 0.0000 0.0000  4 Au 3.25

Properties
As for the raw total energy: -15.461 eV/f.u. Its crystal system is tetragonal. The space group is I-42d, No. 122. For the density of states at the Fermi level, the calculation gives 5.12 states/eV/cell.



DFT (PBE) results for a geometry-optimized Al8Zn5Re structure.

Lattice parameters (Å, degrees): 6.8792 6.8792 6.8792 103.16 103.16 123.01
Closest atoms and distances in Å follow each position.
Fractional coordinates of all 14 atoms:
Al1 0.7672 0.4600 0.3822  1 Re 2.55, 2 Zn 2.67-2.80, 3 Al 2.72-2.80
Al2 0.6150 0.2328 0.6928  1 Re 2.55, 2 Zn 2.67-2.80, 3 Al 2.72-2.80
Al3 0.9917 0.6177 0.0994  1 Re 2.54, 3 Zn 2.69-2.76, 2 Al 2.72-2.80
Al4 0.5400 0.9222 0.3072  1 Re 2.55, 2 Zn 2.67-2.80, 3 Al 2.72-2.80
Al5 0.0778 0.3850 0.6178  1 Re 2.55, 2 Zn 2.67-2.80, 3 Al 2.72-2.80
Al6 0.3823 0.4817 0.3740  1 Re 2.54, 3 Zn 2.69-2.76, 2 Al 2.72-2.80
Al7 0.1077 0.0083 0.6260  1 Re 2.54, 3 Zn 2.69-2.76, 2 Al 2.72-2.80
Al8 0.5183 0.8923 0.9006  1 Re 2.54, 3 Zn 2.69-2.76, 2 Al 2.72-2.80
Zn1 0.9342 0.0087 0.2236  6 Al 2.67-2.90, 4 Zn 2.73-2.85
Zn2 0.7851 0.7106 0.7764  6 Al 2.67-2.90, 4 Zn 2.73-2.85
Zn3 0.9913 0.2149 0.9255  6 Al 2.67-2.90, 4 Zn 2.73-2.85
Zn4 0.5000 0.5000 0.0000  4 Zn 2.76, 8 Al 2.88-3.01
Zn5 0.2894 0.0658 0.0745  6 Al 2.67-2.90, 4 Zn 2.73-2.85
Re1 0.2500 0.7500 0.5000  8 Al 2.54-2.55

Properties
As for the raw total energy: -47.950 eV/f.u. Its crystal system is tetragonal. The space group is I-4, No. 82. For the density of states at the Fermi level, the calculation gives 5.73 states/eV/cell.



DFT (PBE) results for a geometry-optimized TlIr2Pb2 structure.

Lattice parameters (Å, degrees): 8.2612 8.2612 3.1716 90.00 90.00 90.00
Closest atoms and distances in Å follow each position.
Fractional coordinates of all 10 atoms:
Pb1 0.1541 0.6541 0.5000  6 Ir 2.89-2.90, 2 Pb 3.17
Pb2 0.8459 0.3459 0.5000  6 Ir 2.89-2.90, 2 Pb 3.17
Pb3 0.3459 0.1541 0.5000  6 Ir 2.89-2.90, 2 Pb 3.17
Pb4 0.6541 0.8459 0.5000  6 Ir 2.89-2.90, 2 Pb 3.17
Tl1 0.0000 0.0000 0.0000  2 Tl 3.17, 4 Ir 3.19, 8 Pb 3.51
Tl2 0.5000 0.5000 0.0000  2 Tl 3.17, 4 Ir 3.19, 8 Pb 3.51
Ir1 0.3608 0.8608 0.0000  6 Pb 2.89-2.90, 2 Ir 3.17, 2 Tl 3.19
Ir2 0.1392 0.3608 0.0000  6 Pb 2.89-2.90, 2 Ir 3.17, 2 Tl 3.19
Ir3 0.8608 0.6392 0.0000  6 Pb 2.89-2.90, 2 Ir 3.17, 2 Tl 3.19
Ir4 0.6392 0.1392 0.0000  6 Pb 2.89-2.90, 2 Ir 3.17, 2 Tl 3.19

Properties
As for the raw total energy: -25.495 eV/f.u. Its crystal system is tetragonal. The space group is P4/mbm, No. 127. For the density of states at the Fermi level, the calculation gives 11.38 states/eV/cell.



| no. | total magnetic moment (Bohr magnetons per cell) | volume (Å³/cell) |
| --- | --- | --- |
| 1 | 0.0 | 219.6 |
| 2 | 0.0 | 239.9 |
| 3 | 0.0 | 216.5 |